# 1
This record from Alexandria describes a relaxed HfSiS2N crystal. The functional is PBE-GGA.

Lattice parameters (Å, degrees): 4.739 4.739 3.306 90.00 90.00 90.00
Element x y z (fractional)
Hf  0.000  0.000  0.000
Si  0.500  0.500  0.500
S  0.000  0.500  0.500
S  0.500  0.000  0.500
N  0.500  0.500  0.000

Results
* Fermi-level density of states: 1.77 states/eV/f.u.
* excess energy over the best structure of this formula in the dataset: 0 meV/atom
* space-group type: P4/mmm (123)

=====

# 2
This record from Alexandria describes a relaxed HfSiS2N crystal. The functional is PBE-GGA.

Lattice parameters (Å, degrees): 5.006 5.006 4.054 90.00 90.00 90.00
Element x y z (fractional)
Hf  0.000  0.000  0.000
Si  0.500  0.500  0.500
S  0.000  0.500  0.000
S  0.500  0.000  0.000
N  0.000  0.000  0.500

Results
* Fermi-level density of states: 2.38 states/eV/f.u.
* excess energy over the best structure of this formula in the dataset: 291 meV/atom
* space-group type: P4/mmm (123)

=====

# 3
This record from Alexandria describes a relaxed Sm2HfS2N2 crystal. The functional is PBE-GGA.

Lattice parameters (Å, degrees): 7.755 7.755 7.755 148.60 148.60 45.00
Element x y z (fractional)
Sm  0.118  0.118  0.000
Sm  0.882  0.882  0.000
Hf  0.500  0.500  0.000
S  0.320  0.320  0.000
S  0.680  0.680  0.000
N  0.000  0.500  0.500
N  0.500  0.000  0.500

Results
* space-group type: I4/mmm (139)

=====

# 4
This record from Alexandria describes a relaxed HfSnS2N crystal. The functional is PBE-GGA.

Lattice parameters (Å, degrees): 5.051 5.051 4.117 90.00 90.00 90.00
Element x y z (fractional)
Hf  0.000  0.000  0.000
Sn  0.500  0.500  0.500
S  0.000  0.500  0.000
S  0.500  0.000  0.000
N  0.000  0.000  0.500

Results
* Fermi-level density of states: 2.28 states/eV/f.u.
* excess energy over the best structure of this formula in the dataset: 0 meV/atom
* space-group type: P4/mmm (123)

=====

no.,formation energy (no corrections) (meV/atom)
1,-232.8
2,58.6
3,-1783.4
4,-436.1